Entry from Alexandria: Nd2CrFeO6 after structural relaxation (PBE with a Hubbard U).

E_tot	-76.82	eV/f.u.

```
20
Lattice="-0.4344 -3.8357 -3.8223 1.0812 -3.9308 3.8218 -7.5776 -0.6525 1.4725" Properties=species:S:1:pos:R:3 pbc="T T T"
Nd -0.8794 -3.9366 3.9382
Nd -5.3116 -4.6313 1.2568
Nd -6.0514 -4.4825 -2.4662
Nd -1.6193 -3.7878 0.2151
Cr -4.0060 -2.2441 -1.1749
Cr 0.5406 -1.9654 1.9109
Fe -0.2172 -1.9179 -1.9112
Fe -3.2482 -2.2917 2.6471
O 0.2870 -3.9471 1.6496
O -3.6297 -6.5159 0.7904
O -7.2179 -4.4720 -0.1777
O -3.3012 -1.9032 0.6816
O -2.8130 -4.1886 2.2532
O -6.7231 -6.7814 1.4174
O -4.1179 -4.2305 -0.7813
O -0.2078 -1.6377 0.0546
O -1.7503 -5.7242 -1.1316
O -4.8277 -5.9291 3.2625
O -5.1806 -2.6949 2.6036
O -2.1031 -2.4899 -1.7906
```